[1]
{
  "formula": "NpNi7As2P2",
  "functional": "PBE",
  "state": "relaxed",
  "lattice": [[3.7549, 0.0396, -0.2164], [0.0442, 3.7548, -0.2164], [1.3102, 1.3086, 11.9416]],
  "species": ["Ni", "Ni", "Ni", "Ni", "Ni", "Ni", "Ni", "Np", "P", "P", "As", "As"],
  "fractional_positions": [[0.3456, 0.8558, 0.2687], [0.1442, 0.6544, 0.7313], [0.6544, 0.1442, 0.7313], [0.6581, 0.6581, 0.5805], [0.8558, 0.3456, 0.2687], [0.3419, 0.3419, 0.4195], [0.5000, 0.5000, 0.0000], [0.0000, 0.0000, 0.0000], [0.6269, 0.6269, 0.8287], [0.3731, 0.3731, 0.1713], [0.1788, 0.1788, 0.6026], [0.8212, 0.8212, 0.3974]],
  "formation_energy_ev_per_fu": -3.615,
  "final_energy_ev_per_atom": -6.4286,
  "magmom_total_mub_per_fu": 3.802
}

[2]
{
  "formula": "NpNi4AsP2",
  "functional": "PBE",
  "state": "relaxed",
  "lattice": [[-1.8053, -2.7982, -1.9442], [3.3023, -1.9791, -0.2180], [-1.6368, -3.4444, 6.4773]],
  "species": ["Ni", "Ni", "Ni", "Ni", "As", "P", "P", "Np"],
  "fractional_positions": [[0.5000, 0.0000, 0.1858], [0.5000, 0.0000, 0.8142], [0.0000, 0.5000, 0.1858], [0.0000, 0.5000, 0.8142], [0.0000, 0.0000, 0.0000], [0.5000, 0.5000, 0.6546], [0.5000, 0.5000, 0.3454], [0.0000, 0.0000, 0.5000]],
  "formation_energy_ev_per_fu": -4.303,
  "final_energy_ev_per_atom": -6.9798,
  "magmom_total_mub_per_fu": 4.121
}

[3]
{
  "formula": "Np2Ni4AsP3",
  "functional": "PBE",
  "state": "relaxed",
  "lattice": [[-1.6117, 2.6335, 2.6245], [-3.7092, -0.9421, -1.3324], [-0.5703, -6.5390, 6.2110]],
  "species": ["Np", "Np", "P", "P", "P", "Ni", "Ni", "Ni", "Ni", "As"],
  "fractional_positions": [[0.5000, 0.0000, 0.2478], [0.0000, 0.5000, 0.7522], [0.5000, 0.0000, 0.8693], [0.0000, 0.5000, 0.1307], [0.0000, 0.0000, 0.5000], [0.5000, 0.0000, 0.6221], [0.0000, 0.0000, 0.0000], [0.5000, 0.5000, 0.0000], [0.0000, 0.5000, 0.3779], [0.5000, 0.5000, 0.5000]],
  "formation_energy_ev_per_fu": -6.458,
  "final_energy_ev_per_atom": -7.6344,
  "magmom_total_mub_per_fu": 7.500
}

[4]
{
  "formula": "NpPaNi2As2",
  "functional": "PBE",
  "state": "relaxed",
  "lattice": [[4.0137, 0.0000, 0.0000], [-2.0069, 3.4760, 0.0000], [0.0000, 0.0000, 7.9474]],
  "species": ["Np", "Pa", "Ni", "Ni", "As", "As"],
  "fractional_positions": [[0.0000, 0.0000, 0.0000], [0.0000, 0.0000, 0.5000], [0.6667, 0.3333, 0.2894], [0.3333, 0.6667, 0.7106], [0.3333, 0.6667, 0.2366], [0.6667, 0.3333, 0.7634]],
  "formation_energy_ev_per_fu": -4.228,
  "final_energy_ev_per_atom": -7.9211,
  "magmom_total_mub_per_fu": 4.433
}

[5]
{
  "formula": "Np2Ni3As4Pd",
  "functional": "PBE",
  "state": "relaxed",
  "lattice": [[-0.7329, 1.9449, -3.6817], [3.0839, -2.2582, -1.8068], [-6.2660, -6.7163, -2.3007]],
  "species": ["Ni", "Ni", "Ni", "As", "As", "As", "As", "Pd", "Np", "Np"],
  "fractional_positions": [[0.0000, 0.5000, 0.1130], [0.0000, 0.0000, 0.5000], [0.5000, 0.0000, 0.8870], [0.0000, 0.5000, 0.3567], [0.5000, 0.5000, 0.0000], [0.0000, 0.0000, 0.0000], [0.5000, 0.0000, 0.6433], [0.5000, 0.5000, 0.5000], [0.0000, 0.5000, 0.7566], [0.5000, 0.0000, 0.2434]],
  "formation_energy_ev_per_fu": -5.010,
  "final_energy_ev_per_atom": -7.2026,
  "magmom_total_mub_per_fu": 7.939
}

[6]
{
  "formula": "Np2NiAs4Pd3",
  "functional": "PBE",
  "state": "relaxed",
  "lattice": [[4.3612, 0.0000, 0.0000], [0.0000, 4.3612, 0.0000], [0.0000, 0.0000, 9.8180]],
  "species": ["As", "As", "As", "As", "Pd", "Pd", "Pd", "Np", "Np", "Ni"],
  "fractional_positions": [[0.0000, 0.5000, 0.3738], [0.5000, 0.5000, 0.0000], [0.5000, 0.0000, 0.6262], [0.0000, 0.0000, 0.0000], [0.0000, 0.0000, 0.5000], [0.0000, 0.5000, 0.1261], [0.5000, 0.0000, 0.8739], [0.5000, 0.0000, 0.2525], [0.0000, 0.5000, 0.7475], [0.5000, 0.5000, 0.5000]],
  "formation_energy_ev_per_fu": -4.275,
  "final_energy_ev_per_atom": -7.0114,
  "magmom_total_mub_per_fu": 8.087
}

[7]
{
  "formula": "Np2NiAs4Pt3",
  "functional": "PBE",
  "state": "relaxed",
  "lattice": [[4.3750, 0.0000, 0.0000], [0.0000, 4.3750, 0.0000], [0.0000, 0.0000, 9.8651]],
  "species": ["As", "As", "As", "As", "Ni", "Np", "Np", "Pt", "Pt", "Pt"],
  "fractional_positions": [[0.5000, 0.0000, 0.6259], [0.0000, 0.0000, 0.0000], [0.5000, 0.5000, 0.0000], [0.0000, 0.5000, 0.3741], [0.5000, 0.5000, 0.5000], [0.0000, 0.5000, 0.7452], [0.5000, 0.0000, 0.2548], [0.5000, 0.0000, 0.8736], [0.0000, 0.5000, 0.1264], [0.0000, 0.0000, 0.5000]],
  "formation_energy_ev_per_fu": -4.529,
  "final_energy_ev_per_atom": -7.2913,
  "magmom_total_mub_per_fu": 8.032
}

[8]
{
  "formula": "Np2NiAs4Rh3",
  "functional": "PBE",
  "state": "relaxed",
  "lattice": [[4.2612, 0.0000, 0.0000], [0.0000, 4.2612, 0.0000], [0.0000, 0.0000, 9.8306]],
  "species": ["As", "As", "As", "As", "Rh", "Rh", "Rh", "Np", "Np", "Ni"],
  "fractional_positions": [[0.0000, 0.0000, 0.0000], [0.0000, 0.5000, 0.3698], [0.5000, 0.5000, 0.0000], [0.5000, 0.0000, 0.6302], [0.0000, 0.5000, 0.1244], [0.5000, 0.0000, 0.8756], [0.0000, 0.0000, 0.5000], [0.0000, 0.5000, 0.7461], [0.5000, 0.0000, 0.2539], [0.5000, 0.5000, 0.5000]],
  "formation_energy_ev_per_fu": -5.080,
  "final_energy_ev_per_atom": -7.7396,
  "magmom_total_mub_per_fu": 7.509
}

[9]
{
  "formula": "NpNiAs2Rh",
  "functional": "PBE",
  "state": "relaxed",
  "lattice": [[-2.6352, -2.8302, -0.9590], [2.4482, -2.7780, 1.4709], [-2.2301, 3.3242, 4.5941]],
  "species": ["Rh", "Ni", "As", "As", "Np"],
  "fractional_positions": [[0.7500, 0.2500, 0.5000], [0.2500, 0.7500, 0.5000], [0.3801, 0.3801, 0.7601], [0.6199, 0.6199, 0.2399], [0.0000, 0.0000, 0.0000]],
  "formation_energy_ev_per_fu": -2.330,
  "final_energy_ev_per_atom": -7.5405,
  "magmom_total_mub_per_fu": 3.414
}

[10]
{
  "formula": "NpNiAs2Ru",
  "functional": "PBE",
  "state": "relaxed",
  "lattice": [[3.8918, 0.0000, 0.0000], [0.0000, 3.8918, 0.0000], [-1.9459, -1.9459, 5.6679]],
  "species": ["As", "As", "Ru", "Np", "Ni"],
  "fractional_positions": [[0.6227, 0.6227, 0.2454], [0.3773, 0.3773, 0.7546], [0.2500, 0.7500, 0.5000], [0.0000, 0.0000, 0.0000], [0.7500, 0.2500, 0.5000]],
  "formation_energy_ev_per_fu": -1.901,
  "final_energy_ev_per_atom": -7.8396,
  "magmom_total_mub_per_fu": 4.201
}

[11]
{
  "formula": "Np2NiAs4Ru3",
  "functional": "PBE",
  "state": "relaxed",
  "lattice": [[4.2296, 0.0000, 0.0000], [0.0000, 4.2296, 0.0000], [0.0000, 0.0000, 9.8542]],
  "species": ["Ru", "Ru", "Ru", "As", "As", "As", "As", "Np", "Np", "Ni"],
  "fractional_positions": [[0.5000, 0.0000, 0.8752], [0.0000, 0.5000, 0.1248], [0.0000, 0.0000, 0.5000], [0.5000, 0.0000, 0.6310], [0.0000, 0.0000, 0.0000], [0.5000, 0.5000, 0.0000], [0.0000, 0.5000, 0.3690], [0.5000, 0.0000, 0.2460], [0.0000, 0.5000, 0.7540], [0.5000, 0.5000, 0.5000]],
  "formation_energy_ev_per_fu": -3.374,
  "final_energy_ev_per_atom": -8.1463,
  "magmom_total_mub_per_fu": 7.465
}

[12]
{
  "formula": "Np2Ni3As4Ru",
  "functional": "PBE",
  "state": "relaxed",
  "lattice": [[4.1678, 0.0000, 0.0000], [0.0000, 4.1678, 0.0000], [0.0000, 0.0000, 9.5421]],
  "species": ["Ni", "Ni", "Ni", "Ru", "Np", "Np", "As", "As", "As", "As"],
  "fractional_positions": [[0.5000, 0.0000, 0.8836], [0.0000, 0.0000, 0.5000], [0.0000, 0.5000, 0.1164], [0.5000, 0.5000, 0.5000], [0.0000, 0.5000, 0.7552], [0.5000, 0.0000, 0.2448], [0.0000, 0.5000, 0.3584], [0.5000, 0.0000, 0.6416], [0.5000, 0.5000, 0.0000], [0.0000, 0.0000, 0.0000]],
  "formation_energy_ev_per_fu": -4.582,
  "final_energy_ev_per_atom": -7.5682,
  "magmom_total_mub_per_fu": 8.242
}

[13]
{
  "formula": "NpNi7Sn2As2",
  "functional": "PBE",
  "state": "relaxed",
  "lattice": [[-2.0510, -3.1928, -1.5282], [2.1652, 1.3089, -3.2147], [9.1076, -7.1004, 3.8159]],
  "species": ["Ni", "Ni", "Ni", "Ni", "Ni", "Ni", "Ni", "As", "As", "Sn", "Sn", "Np"],
  "fractional_positions": [[0.3375, 0.3375, 0.4205], [0.8864, 0.5057, 0.1587], [0.5057, 0.8864, 0.1587], [0.4943, 0.1136, 0.8413], [0.5000, 0.5000, 0.0000], [0.6625, 0.6625, 0.5795], [0.1136, 0.4943, 0.8413], [0.6627, 0.6627, 0.7698], [0.3373, 0.3373, 0.2302], [0.1674, 0.1674, 0.6190], [0.8326, 0.8326, 0.3810], [0.0000, 0.0000, 0.0000]],
  "formation_energy_ev_per_fu": -0.332,
  "final_energy_ev_per_atom": -5.9206,
  "magmom_total_mub_per_fu": 2.842
}

[14]
{
  "formula": "NpNi4SnAs2",
  "functional": "PBE",
  "state": "relaxed",
  "lattice": [[-2.3552, -0.8791, 2.7541], [-1.4790, -2.6859, -2.1221], [6.2940, -6.1638, 3.4148]],
  "species": ["Ni", "Ni", "Ni", "Ni", "As", "As", "Np", "Sn"],
  "fractional_positions": [[0.5000, 0.0000, 0.8045], [0.0000, 0.5000, 0.1955], [0.0000, 0.5000, 0.8045], [0.5000, 0.0000, 0.1955], [0.5000, 0.5000, 0.3440], [0.5000, 0.5000, 0.6560], [0.0000, 0.0000, 0.5000], [0.0000, 0.0000, 0.0000]],
  "formation_energy_ev_per_fu": -2.222,
  "final_energy_ev_per_atom": -6.4487,
  "magmom_total_mub_per_fu": 4.227
}

[15]
{
  "formula": "Np2TcNi3As4",
  "functional": "PBE",
  "state": "relaxed",
  "lattice": [[-1.3250, 1.2198, -3.7736], [-3.5909, -2.0577, 0.5957], [-3.8358, 7.8151, 3.8730]],
  "species": ["Ni", "Ni", "Ni", "As", "As", "As", "As", "Np", "Np", "Tc"],
  "fractional_positions": [[0.5000, 0.0000, 0.8843], [0.0000, 0.5000, 0.1157], [0.0000, 0.0000, 0.5000], [0.5000, 0.5000, 0.0000], [0.0000, 0.0000, 0.0000], [0.5000, 0.0000, 0.6415], [0.0000, 0.5000, 0.3585], [0.5000, 0.0000, 0.2431], [0.0000, 0.5000, 0.7569], [0.5000, 0.5000, 0.5000]],
  "formation_energy_ev_per_fu": -4.302,
  "final_energy_ev_per_atom": -7.6492,
  "magmom_total_mub_per_fu": 8.003
}

[16]
{
  "formula": "ThNpNi2As2",
  "functional": "PBE",
  "state": "relaxed",
  "lattice": [[4.0756, 0.0000, 0.0000], [-2.0378, 3.5295, 0.0000], [0.0000, 0.0000, 8.0090]],
  "species": ["Np", "Th", "As", "As", "Ni", "Ni"],
  "fractional_positions": [[0.0000, 0.0000, 0.5000], [0.0000, 0.0000, 0.0000], [0.3333, 0.6667, 0.2677], [0.6667, 0.3333, 0.7323], [0.3333, 0.6667, 0.7638], [0.6667, 0.3333, 0.2362]],
  "formation_energy_ev_per_fu": -4.685,
  "final_energy_ev_per_atom": -7.6512,
  "magmom_total_mub_per_fu": 4.092
}